# PBE LaTaCo, relaxed
# Energy of formation from the pure elements in meV/atom: 605
# Energy above the lowest structure with this stoichiometry in meV per atom: 724
data_LaTaCo
_chemical_formula_sum 'La4 Ta4 Co4'
_cell_length_a 6.441
_cell_length_b 6.441
_cell_length_c 6.441
_cell_angle_alpha 90.00
_cell_angle_beta 90.00
_cell_angle_gamma 90.00
_space_group_name_H-M_alt 'F -4 3 m'
_space_group_IT_number 216
_space_group_name_Hall 'F -4 2 3'
loop_
_atom_site_label
_atom_site_fract_x
_atom_site_fract_y
_atom_site_fract_z
_atom_site_occupancy
La1 0.000 0.000 0.000 1
Ta1 0.000 0.000 0.500 1
Co1 0.250 0.250 0.750 1